# 1
VASP calculation (PBEsol) on crystalline MgBe3Ga at its relaxed geometry.

Values from the calculation:
Energy of formation from the pure elements   138.7 kJ per mole of atoms
Symmetry   No. 221

Cell lengths 4.485, 4.485, 4.485 Å; angles 90.00, 90.00, 90.00 degrees
Sites, in units of the cell vectors:
Mg (0.000, 0.000, 0.000)
Be (0.000, 0.000, 0.500)
Be (0.000, 0.500, 0.000)
Be (0.500, 0.000, 0.000)
Ga (0.500, 0.500, 0.500)


# 2
VASP calculation (PBEsol) on crystalline La4ZrTe at its relaxed geometry.

Values from the calculation:
Raw formation energy   19 kJ per mole of atoms
Symmetry   No. 216

Cell lengths 6.314, 6.314, 6.314 Å; angles 60.00, 60.00, 60.00 degrees
Sites, in units of the cell vectors:
La (0.124, 0.124, 0.124)
La (0.124, 0.124, 0.628)
La (0.124, 0.628, 0.124)
La (0.628, 0.124, 0.124)
Zr (0.750, 0.750, 0.750)
Te (0.500, 0.500, 0.500)


# 3
VASP calculation (PBEsol) on crystalline BaH2Ru at its relaxed geometry.

Values from the calculation:
Total energy   -37.141 eV/cell
Symmetry   No. 122

Cell lengths 6.242, 6.242, 6.242 Å; angles 136.02, 136.02, 63.95 degrees
Sites, in units of the cell vectors:
Ba (0.000, 0.000, 0.000)
Ba (0.750, 0.250, 0.500)
H (0.350, 0.125, 0.725)
H (0.375, 0.650, 0.775)
H (0.400, 0.625, 0.275)
H (0.875, 0.600, 0.225)
Ru (0.250, 0.750, 0.500)
Ru (0.500, 0.500, 0.000)


# 4
VASP calculation (PBEsol) on crystalline Li2TlNi2 at its relaxed geometry.

Values from the calculation:
Energy of formation from the pure elements   30.0 kJ per mole of atoms
Symmetry   No. 139

Cell lengths 6.426, 6.426, 6.426 Å; angles 148.23, 148.23, 45.54 degrees
Sites, in units of the cell vectors:
Li (0.250, 0.750, 0.500)
Li (0.750, 0.250, 0.500)
Tl (0.000, 0.000, 0.000)
Ni (0.403, 0.403, 0.000)
Ni (0.597, 0.597, 0.000)


| no. | total magnetic moment (μB per atom) | N(E_F) (states/eV per cell) |
| --- | --- | --- |
| 1 | 0.000 | 1.31 |
| 2 | 0.002 | 10.05 |
| 3 | 0.000 | 3.85 |
| 4 | 0.000 | 2.78 |